NaEuBiWO6 | PBE+U | optimized geometry

Unit cell a=8.500 b=8.500 c=8.500 alpha=90.00 beta=90.00 gamma=90.00
Space group F-43m (No. 216)
One atom of each set of equivalent atoms:
Na: 0.000 0.000 0.000 [4 per cell]
Eu: 0.000 0.000 0.500 [4 per cell]
Bi: 0.250 0.250 0.750 [4 per cell]
W: 0.250 0.250 0.250 [4 per cell]
O: 0.021 0.250 0.250 [24 per cell]

Values from the calculation:
total energy: -7.160 eV per atom
crystal system: cubic